*one*
TaAlB: optimized geometry, PBE.

Properties
* DOS at the Fermi energy: 0.857 states/eV/f.u.
* symmetry: No. 8

a = 5.3081 Å, b = 5.3081 Å, c = 5.9052 Å
α = 118.37°, β = 118.37°, γ = 35.12°
Closest atoms and distances in Å follow each position.
Element x y z (fractional)
Ta 0.0000 0.0000 0.0000  4 B 2.33-2.38
Ta 0.7435 0.7435 0.4488  4 B 2.34-2.36
Al 0.0583 0.0583 0.5710  3 B 2.23
Al 0.3250 0.3250 0.1567  1 B 2.18
B 0.3122 0.3122 0.7778  1 B 1.72
B 0.4389 0.4389 0.6645  1 B 1.72

*two*
TaAlB: optimized geometry, PBE.

Properties
* DOS at the Fermi energy: 1.273 states/eV/f.u.
* symmetry: No. 11

a = 4.5672 Å, b = 3.0085 Å, c = 5.6299 Å
α = 90.00°, β = 91.21°, γ = 90.00°
Closest atoms and distances in Å follow each position.
Element x y z (fractional)
Ta 0.1165 0.2500 0.2807  4 B 2.40-2.59
Ta 0.8835 0.7500 0.7193  4 B 2.40-2.59
Al 0.3743 0.2500 0.8298  3 B 2.27-2.30
Al 0.6257 0.7500 0.1702  3 B 2.27-2.30
B 0.3946 0.7500 0.5298  2 B 1.82
B 0.6054 0.2500 0.4702  2 B 1.82

*three*
TaAlB: optimized geometry, PBE.

Properties
* DOS at the Fermi energy: 0.556 states/eV/f.u.
* symmetry: No. 2

a = 2.9494 Å, b = 4.5166 Å, c = 6.3110 Å
α = 108.24°, β = 95.83°, γ = 90.76°
Closest atoms and distances in Å follow each position.
Element x y z (fractional)
Ta 0.1620 0.3168 0.1441  3 B 2.39-2.41
Ta 0.8380 0.6832 0.8559  3 B 2.39-2.41
Al 0.3287 0.1284 0.7028  1 B 2.30
Al 0.6713 0.8716 0.2972  1 B 2.30
B 0.2616 0.5950 0.5405  2 B 1.70-1.71
B 0.7384 0.4050 0.4595  2 B 1.70-1.71

*four*
TaAlB: optimized geometry, PBE.

Properties
* DOS at the Fermi energy: 0.987 states/eV/f.u.
* symmetry: No. 63

a = 7.4803 Å, b = 7.4803 Å, c = 3.1096 Å
α = 90.00°, β = 90.00°, γ = 154.12°
Closest atoms and distances in Å follow each position.
Element x y z (fractional)
Ta 0.0888 0.9112 0.7500  6 B 2.42-2.44
Ta 0.9112 0.0888 0.2500  6 B 2.42-2.44
Al 0.2988 0.7012 0.7500  1 B 2.48, 4 Al 2.69
Al 0.7012 0.2988 0.2500  1 B 2.48, 4 Al 2.69
B 0.4691 0.5309 0.7500  2 B 1.80
B 0.5309 0.4691 0.2500  2 B 1.80

Which of them is most stable? Easy: *four*.

*one*
TaAl3B: optimized geometry, PBE.

Properties
* DOS at the Fermi energy: 3.990 states/eV/f.u.
* symmetry: No. 221

a = 4.2102 Å, b = 4.2102 Å, c = 4.2102 Å
α = 90.00°, β = 90.00°, γ = 90.00°
Closest atoms and distances in Å follow each position.
Element x y z (fractional)
Ta 0.0000 0.0000 0.0000  12 Al 2.98
Al 0.0000 0.5000 0.5000  2 B 2.11
Al 0.5000 0.0000 0.5000  2 B 2.11
Al 0.5000 0.5000 0.0000  2 B 2.11
B 0.5000 0.5000 0.5000  6 Al 2.11

*two*
TaAl3B: optimized geometry, PBE.

Properties
* DOS at the Fermi energy: 3.111 states/eV/f.u.
* symmetry: No. 221

a = 5.0549 Å, b = 5.0549 Å, c = 5.0549 Å
α = 90.00°, β = 90.00°, γ = 90.00°
Closest atoms and distances in Å follow each position.
Element x y z (fractional)
Ta 0.0000 0.0000 0.0000  6 Al 2.53
Al 0.0000 0.0000 0.5000  2 Ta 2.53
Al 0.0000 0.5000 0.0000  2 Ta 2.53
Al 0.5000 0.0000 0.0000  2 Ta 2.53
B 0.5000 0.5000 0.5000  12 Al 3.57

Which of them is most stable? Easy: *one*.

*one*
AlTcB3: optimized geometry, PBE.

Properties
* DOS at the Fermi energy: 5.157 states/eV/f.u.
* symmetry: No. 221

a = 3.9304 Å, b = 3.9304 Å, c = 3.9304 Å
α = 90.00°, β = 90.00°, γ = 90.00°
Closest atoms and distances in Å follow each position.
Element x y z (fractional)
Al 0.0000 0.0000 0.0000  6 B 1.97
Tc 0.5000 0.5000 0.5000  12 B 2.78
B 0.0000 0.0000 0.5000  2 Al 1.97
B 0.0000 0.5000 0.0000  2 Al 1.97
B 0.5000 0.0000 0.0000  2 Al 1.97

*two*
AlTcB3: optimized geometry, PBE.

Properties
* DOS at the Fermi energy: 1.342 states/eV/f.u.
* symmetry: No. 221

a = 4.1169 Å, b = 4.1169 Å, c = 4.1169 Å
α = 90.00°, β = 90.00°, γ = 90.00°
Closest atoms and distances in Å follow each position.
Element x y z (fractional)
Al 0.0000 0.0000 0.0000  12 B 2.91
Tc 0.5000 0.5000 0.5000  6 B 2.06
B 0.0000 0.5000 0.5000  2 Tc 2.06
B 0.5000 0.0000 0.5000  2 Tc 2.06
B 0.5000 0.5000 0.0000  2 Tc 2.06

Which of them is most stable? Easy: *two*.

*one*
AlTcB: optimized geometry, PBE.

Properties
* DOS at the Fermi energy: 0.776 states/eV/f.u.
* symmetry: No. 63

a = 7.2113 Å, b = 7.2113 Å, c = 3.1699 Å
α = 90.00°, β = 90.00°, γ = 155.76°
Closest atoms and distances in Å follow each position.
Element x y z (fractional)
Al 0.1972 0.8028 0.7500  1 B 2.34
Al 0.8028 0.1972 0.2500  1 B 2.34
Tc 0.4057 0.5943 0.7500  6 B 2.33-2.36
Tc 0.5943 0.4057 0.2500  6 B 2.33-2.36
B 0.0313 0.9687 0.7500  2 B 1.81
B 0.9687 0.0313 0.2500  2 B 1.81

*two*
AlTcB: optimized geometry, PBE.

Properties
* DOS at the Fermi energy: 1.408 states/eV/f.u.
* symmetry: No. 187

a = 3.6342 Å, b = 3.6342 Å, c = 3.2901 Å
α = 90.00°, β = 90.00°, γ = 120.00°
Closest atoms and distances in Å follow each position.
Element x y z (fractional)
Al 0.0000 0.0000 0.0000  6 B 2.67, 6 Tc 2.67
Tc 0.6667 0.3333 0.5000  3 B 2.10
B 0.3333 0.6667 0.5000  3 Tc 2.10

*three*
AlTcB: optimized geometry, PBE.

Properties
* DOS at the Fermi energy: 1.240 states/eV/f.u.
* symmetry: No. 12

a = 4.8918 Å, b = 4.8918 Å, c = 6.1127 Å
α = 115.88°, β = 115.88°, γ = 35.84°
Closest atoms and distances in Å follow each position.
Element x y z (fractional)
Al 0.0000 0.0000 0.0000  2 B 2.47, 4 Tc 2.64
Al 0.5000 0.5000 0.5000  2 B 2.42, 4 Tc 2.60
Tc 0.2382 0.2382 0.7960  3 B 2.17-2.20
Tc 0.7618 0.7618 0.2040  3 B 2.17-2.20
B 0.2216 0.2216 0.4254  2 B 1.71
B 0.7784 0.7784 0.5746  2 B 1.71

Which of them is most stable? Easy: *one*.

*one*
AlTc3B: optimized geometry, PBE.

Properties
* DOS at the Fermi energy: 5.262 states/eV/f.u.
* symmetry: No. 221

a = 4.1083 Å, b = 4.1083 Å, c = 4.1083 Å
α = 90.00°, β = 90.00°, γ = 90.00°
Closest atoms and distances in Å follow each position.
Element x y z (fractional)
Al 0.0000 0.0000 0.0000  12 Tc 2.91
Tc 0.0000 0.5000 0.5000  2 B 2.05
Tc 0.5000 0.0000 0.5000  2 B 2.05
Tc 0.5000 0.5000 0.0000  2 B 2.05
B 0.5000 0.5000 0.5000  6 Tc 2.05

*two*
AlTc3B: optimized geometry, PBE.

Properties
* DOS at the Fermi energy: 4.610 states/eV/f.u.
* symmetry: No. 160

a = 4.1328 Å, b = 4.1328 Å, c = 4.1328 Å
α = 96.24°, β = 96.24°, γ = 96.24°
Closest atoms and distances in Å follow each position.
Element x y z (fractional)
Al 0.0000 0.0000 0.0000  1 B 2.36
Tc 0.4892 0.4892 0.9153  2 B 2.09-2.23
Tc 0.4892 0.9153 0.4892  2 B 2.09-2.23
Tc 0.9153 0.4892 0.4892  2 B 2.09-2.23
B 0.3723 0.3723 0.3723  6 Tc 2.09-2.23

Which of them is most stable? Easy: *two*.

*one*
Al3BTe: optimized geometry, PBE.

Properties
* DOS at the Fermi energy: 4.814 states/eV/f.u.
* symmetry: No. 221

a = 5.3422 Å, b = 5.3422 Å, c = 5.3422 Å
α = 90.00°, β = 90.00°, γ = 90.00°
Closest atoms and distances in Å follow each position.
Element x y z (fractional)
Al 0.0000 0.0000 0.5000  2 Te 2.67
Al 0.0000 0.5000 0.0000  2 Te 2.67
Al 0.5000 0.0000 0.0000  2 Te 2.67
B 0.5000 0.5000 0.5000  12 Al 3.78
Te 0.0000 0.0000 0.0000  6 Al 2.67

*two*
Al3BTe: optimized geometry, PBE.

Properties
* DOS at the Fermi energy: 2.046 states/eV/f.u.
* symmetry: No. 221

a = 4.4549 Å, b = 4.4549 Å, c = 4.4549 Å
α = 90.00°, β = 90.00°, γ = 90.00°
Closest atoms and distances in Å follow each position.
Element x y z (fractional)
Al 0.0000 0.0000 0.5000  2 B 2.23
Al 0.0000 0.5000 0.0000  2 B 2.23
Al 0.5000 0.0000 0.0000  2 B 2.23
B 0.0000 0.0000 0.0000  6 Al 2.23
Te 0.5000 0.5000 0.5000  12 Al 3.15

Which of them is most stable? Easy: *two*.